This record from the Alexandria database describes a relaxed structure of Cs4CaMn3F12. The functional is GGA+U.

Values from the calculation:
total energy: -217.70 eV per cell
spin magnetization: 15.0 μB per formula unit

abc: 8.878 8.878 8.878
angles: 90.00 90.00 90.00
Space group Im-3m (No. 229)
One atom of each set of equivalent atoms:
Cs 0.250 0.250 0.250 [8 per cell]
Ca 0.000 0.000 0.000 [2 per cell]
Mn 0.000 0.000 0.500 [6 per cell]
F 0.000 0.000 0.258 [12 per cell]
F 0.000 0.250 0.500 [12 per cell]